(1)
A plane-wave DFT calculation with GGA-PBEsol was carried out for a geometry-optimized Mg3SnO structure.

Cell and atoms, written as POSCAR:
```
Mg3SnO
1.0
5.152 0.000 0.000
0.000 5.152 0.000
0.000 0.000 5.152
Mg Sn O
3 1 1
direct
0.000 0.000 0.500
0.000 0.500 0.000
0.500 0.000 0.000
0.000 0.000 0.000
0.500 0.500 0.500
```

Computed properties:
energy relative to the elements, uncorrected	0.43	eV per atom
space-group type	Pm-3m (221)

(2)
A plane-wave DFT calculation with GGA-PBEsol was carried out for a geometry-optimized MgSnO3 structure.

Cell and atoms, written as POSCAR:
```
MgSnO3
1.0
5.413 0.000 0.000
0.000 7.741 0.000
0.000 0.000 5.281
Mg Sn O
4 4 12
direct
0.045 0.250 0.000
0.455 0.750 0.500
0.545 0.250 0.500
0.955 0.750 0.000
0.000 0.000 0.500
0.000 0.500 0.500
0.500 0.000 0.000
0.500 0.500 0.000
0.086 0.750 0.365
0.177 0.572 0.828
0.177 0.928 0.828
0.323 0.072 0.328
0.323 0.428 0.328
0.414 0.250 0.865
0.586 0.750 0.135
0.677 0.572 0.672
0.677 0.928 0.672
0.823 0.072 0.172
0.823 0.428 0.172
0.914 0.250 0.635
```

Computed properties:
energy relative to the elements, uncorrected	-2.06	eV per atom
space-group type	Pnma (62)